Computed, not measured: Na2RhF after structural relaxation at the PBE level of DFT.

Calculated values
The formation energy from raw total energies comes out at -0.183 eV/atom. The space group is Fm-3m. The energy above the lowest structure with this stoichiometry is 0.3827 eV per atom.

Cell: 4.733 4.733 4.733 Å, 60.00 60.00 60.00°
Atoms (fractional coordinates):
Na 0.250 0.250 0.250
Na 0.750 0.750 0.750
Rh 0.500 0.500 0.500
F 0.000 0.000 0.000

***

Computed, not measured: TbTiCoRh after structural relaxation at the PBE level of DFT.

Calculated values
The formation energy comes out at -0.37 eV/atom. The space group is F-43m.

Cell: 4.567 4.567 4.567 Å, 60.00 60.00 60.00°
Atoms (fractional coordinates):
Rh 0.500 0.500 0.500
Ti 0.250 0.250 0.250
Tb 0.750 0.750 0.750
Co 0.000 0.000 0.000

***

Computed, not measured: CaLaNdY after structural relaxation at the PBE level of DFT.

Calculated values
The formation energy comes out at 0.04 eV/atom. The space group is P3m1. The energy above the lowest structure with this stoichiometry is 0.0000 eV per atom.

Cell: 3.694 3.694 12.299 Å, 90.00 90.00 120.00°
Atoms (fractional coordinates):
Ca 0.667 0.333 0.671
La 0.333 0.667 0.939
Nd 0.000 0.000 0.411
Y 0.667 0.333 0.178

***

Computed, not measured: CrSbSe2 after structural relaxation at the PBE level of DFT.

Calculated values
The formation energy from raw total energies comes out at 0.157 eV/atom. The space group is P4/mmm. The energy above the lowest structure with this stoichiometry is 0.4730 eV per atom.

Cell: 3.509 4.915 4.915 Å, 90.00 90.00 90.00°
Atoms (fractional coordinates):
Cr 0.500 0.500 0.000
Sb 0.500 0.000 0.500
Se 0.000 0.000 0.000
Se 0.000 0.500 0.500

***

Computed, not measured: PmEuTlGe after structural relaxation at the PBE level of DFT.

Calculated values
The formation energy comes out at -0.45 eV/atom. The space group is F-43m.

Cell: 5.389 5.389 5.389 Å, 60.00 60.00 60.00°
Atoms (fractional coordinates):
Eu 0.000 0.000 0.000
Tl 0.750 0.750 0.750
Ge 0.250 0.250 0.250
Pm 0.500 0.500 0.500

***

Computed, not measured: ScReAg2 after structural relaxation at the PBE level of DFT.

Calculated values
The formation energy comes out at 0.30 eV/atom. The space group is P4mm. The energy above the lowest structure with this stoichiometry is 0.1011 eV per atom.

Cell: 3.378 3.378 6.217 Å, 90.00 90.00 90.00°
Atoms (fractional coordinates):
Ag 0.000 0.000 0.010
Ag 0.500 0.500 0.254
Re 0.000 0.000 0.498
Sc 0.500 0.500 0.738

***

Computed, not measured: Mg2BrCl3 after structural relaxation at the PBE level of DFT.

Calculated values
The formation energy from raw total energies comes out at -1.762 eV/atom. The space group is R-3m.

Cell: 7.421 7.421 8.064 Å, 62.60 62.60 60.00°
Atoms (fractional coordinates):
Mg 0.000 0.000 0.000
Mg 0.500 0.000 0.000
Mg 0.500 0.500 0.000
Mg 0.000 0.500 0.000
Br 0.255 0.255 0.235
Br 0.745 0.745 0.765
Cl 0.268 0.767 0.198
Cl 0.233 0.732 0.802
Cl 0.767 0.268 0.198
Cl 0.767 0.767 0.198
Cl 0.732 0.233 0.802
Cl 0.233 0.233 0.802

***

Computed, not measured: Tb3ScAg2 after structural relaxation at the PBE level of DFT.

Calculated values
The formation energy comes out at -0.18 eV/atom. The space group is P4/mmm.

Cell: 3.615 3.615 11.818 Å, 90.00 90.00 90.00°
Atoms (fractional coordinates):
Tb 0.000 0.000 0.000
Tb 0.000 0.000 0.687
Tb 0.000 0.000 0.313
Sc 0.500 0.500 0.500
Ag 0.500 0.500 0.841
Ag 0.500 0.500 0.159

***

Computed, not measured: AcSi3Os3 after structural relaxation at the PBE level of DFT.

Calculated values
The formation energy from raw total energies comes out at -0.090 eV/atom. The space group is R-3. The energy above the lowest structure with this stoichiometry is 0.0189 eV per atom.

Cell: 6.754 6.754 8.260 Å, 65.87 65.87 60.00°
Atoms (fractional coordinates):
Ac 0.332 0.332 0.003
Ac 0.668 0.668 0.997
Si 0.186 0.636 0.298
Si 0.880 0.186 0.298
Si 0.636 0.880 0.298
Si 0.364 0.120 0.702
Si 0.120 0.814 0.702
Si 0.814 0.364 0.702
Os 0.511 0.762 0.631
Os 0.762 0.096 0.631
Os 0.096 0.511 0.631
Os 0.904 0.489 0.369
Os 0.238 0.904 0.369
Os 0.489 0.238 0.369

***

Computed, not measured: RbTl2InPb2 after structural relaxation at the PBE level of DFT.

Calculated values
The formation energy comes out at -0.02 eV/atom. The space group is P-3m1.

Cell: 5.453 5.453 8.085 Å, 90.00 90.00 120.00°
Atoms (fractional coordinates):
Rb 0.000 0.000 0.000
Tl 0.667 0.333 0.244
Tl 0.333 0.667 0.756
In 0.000 0.000 0.500
Pb 0.667 0.333 0.659
Pb 0.333 0.667 0.341

***

Computed, not measured: Ce2SiRu after structural relaxation at the PBE level of DFT.

Calculated values
The formation energy from raw total energies comes out at -0.463 eV/atom. The space group is P4/mmm. The energy above the lowest structure with this stoichiometry is 0.1118 eV per atom.

Cell: 4.183 4.362 4.362 Å, 90.00 90.00 90.00°
Atoms (fractional coordinates):
Ru 0.500 0.000 0.000
Si 0.500 0.500 0.500
Ce 0.000 0.000 0.500
Ce 0.000 0.500 0.000

***

Number 1: DOS(E_F) 2.7331 states/eV/atom. Number 2: DOS(E_F) 0.9083 states/eV/atom. Number 3: DOS(E_F) 1.3542 states/eV/atom. Number 4: DOS(E_F) 0.4942 states/eV/atom. Number 5: DOS(E_F) 0.5389 states/eV/atom. Number 6: DOS(E_F) 0.9066 states/eV/atom. Number 7: DOS(E_F) 0.0000 states/eV/atom. Number 8: DOS(E_F) 0.8739 states/eV/atom. Number 9: DOS(E_F) 0.6491 states/eV/atom. Number 10: DOS(E_F) 0.5941 states/eV/atom. Number 11: DOS(E_F) 1.1475 states/eV/atom.